# HoIn6Pd12, optimized geometry, DFT PBE-GGA
# E	-269.453	eV/cell
# total magnetic moment	0.0	μB/f.u.
# energy of formation from the pure elements	-0.342	eV/atom
data_HoIn6Pd12
_cell_length_a 11.3269
_cell_length_b 11.3269
_cell_length_c 9.6205
_cell_angle_alpha 90.00
_cell_angle_beta 90.00
_cell_angle_gamma 120.00
_symmetry_space_group_name_H-M 'R -3'
_symmetry_Int_Tables_number 148
_symmetry_space_group_name_Hall '-R 3'
loop_
_atom_site_label
_atom_site_fract_x
_atom_site_fract_y
_atom_site_fract_z
Ho1 0.0000 0.0000 0.0000
In1 0.0637 0.8802 0.7284
Pd1 0.0199 0.7566 0.9930
Pd2 0.0627 0.5483 0.1219